Record 1
## La2SmCd2Pb2 (PBE-GGA)

Data for a geometry-optimized La2SmCd2Pb2 structure.

Cell lengths 5.1181, 5.1181, 27.7184 Å; angles 90.00, 90.00, 120.00 degrees
Space group R-3m (No. 166, hexagonal axes)
Unique sites:
La 0.0000 0.0000 0.1331
Sm 0.0000 0.0000 0.0000
Cd 0.0000 0.0000 0.4204
Pb 0.0000 0.0000 0.2733

Calculated values
uncorrected energy: -3.65 eV/atom
spin magnetization: 0.00 μB/f.u.
E_form: -0.24 eV per atom



Record 2
## LaTc2Se (PBE-GGA)

Data for a geometry-optimized LaTc2Se structure.

Cell lengths 4.517, 4.517, 7.514 Å; angles 90.00, 90.00, 90.00 degrees
Space group I-4m2 (No. 119)
Unique sites:
La 0.000 0.000 0.000
Tc 0.000 0.000 0.500
Tc 0.000 0.500 0.750
Se 0.000 0.500 0.250

Calculated values
energy relative to the elements, uncorrected: 0.315 eV/atom
uncorrected energy: -6.97 eV/atom
spin magnetization: 0.20 μB/f.u.